No. 1
The following is a GGA-PBE calculation of Tb4Pm2DyEr2 after structural relaxation, from Alexandria.

The space group is C2/m (No. 12) and the conventional cell measures 18.665, 3.598 and 9.569 Å, with angles of 90.00, 115.70 and 90.00 degrees. The asymmetric unit holds Tb at (0.018, 0.000, 0.330), Tb at (0.185, 0.500, 0.332), Pm at (0.148, 0.500, 0.667), Dy at (0.000, 0.500, 0.000) and Er at (0.167, 0.000, 0.001).

For the energy of formation from the pure elements, the calculation gives 11 meV/atom. Its magnetic moment is 0.0 μB per cell. As for the density of states at the Fermi level: 23.5 states/eV/cell. For the theoretical density, the calculation gives 8.2 g cm⁻³.

No. 2
The following is a GGA-PBE calculation of Tb6Pm2Dy3Er after structural relaxation, from Alexandria.

The space group is C2/m (No. 12) and the conventional cell measures 6.176, 10.689 and 11.824 Å, with angles of 90.00, 99.97 and 90.00 degrees. The asymmetric unit holds Tb at (0.248, 0.000, 0.248), Tb at (0.249, 0.334, 0.248), Pm at (0.000, 0.333, 0.500), Dy at (0.000, 0.166, 0.000), Dy at (0.000, 0.500, 0.000) and Er at (0.000, 0.000, 0.500).

For the energy of formation from the pure elements, the calculation gives 14 meV/atom. Its magnetic moment is 0.0 μB per cell. As for the density of states at the Fermi level: 30.2 states/eV/cell. For the theoretical density, the calculation gives 8.2 g cm⁻³.

No. 3
The following is a GGA-PBE calculation of Tb2Pm2DyEr2 after structural relaxation, from Alexandria.

The space group is R-3m (No. 166, hexagonal axes) and the conventional cell measures 5.6841, 5.6841 and 24.3697 Å, with angles of 90.00, 90.00 and 120.00 degrees. The asymmetric unit holds Tb at (0.0000, 0.0000, 0.2171), Pm at (0.0000, 0.0000, 0.3613), Dy at (0.0000, 0.0000, 0.5000) and Er at (0.0000, 0.0000, 0.0738).

For the energy of formation from the pure elements, the calculation gives 141 meV/atom. Its magnetic moment is 0.0 μB per cell. As for the density of states at the Fermi level: 51.8 states/eV/cell. For the theoretical density, the calculation gives 8.1 g cm⁻³.

No. 4
The following is a GGA-PBE calculation of Tb2Pm2DyEr after structural relaxation, from Alexandria.

The space group is Pmma (No. 51) and the conventional cell measures 7.006, 5.644 and 9.778 Å, with angles of 90.00, 90.00 and 90.00 degrees. The asymmetric unit holds Tb at (0.250, 0.000, 0.163), Tb at (0.250, 0.500, 0.669), Pm at (0.000, 0.500, 0.000), Pm at (0.250, 0.000, 0.823), Dy at (0.250, 0.500, 0.341) and Er at (0.000, 0.000, 0.500).

For the energy of formation from the pure elements, the calculation gives 63 meV/atom. Its magnetic moment is 0.0 μB per cell. As for the density of states at the Fermi level: 18.6 states/eV/cell. For the theoretical density, the calculation gives 8.1 g cm⁻³.

No. 5
The following is a GGA-PBE calculation of TbPm5Dy2Er after structural relaxation, from Alexandria.

The space group is Cmc2_1 (No. 36) and the conventional cell measures 5.635, 20.282 and 10.675 Å, with angles of 90.00, 90.00 and 90.00 degrees. The asymmetric unit holds Tb at (0.000, 0.199, 0.000), Pm at (0.000, 0.016, 0.009), Pm at (0.000, 0.280, 0.300), Pm at (0.000, 0.298, 0.696), Pm at (0.000, 0.387, 0.012), Pm at (0.000, 0.482, 0.732), Dy at (0.000, 0.112, 0.728), Dy at (0.000, 0.115, 0.303) and Er at (0.000, 0.409, 0.451).

For the energy of formation from the pure elements, the calculation gives 144 meV/atom. Its magnetic moment is 0.0 μB per cell. As for the density of states at the Fermi level: 57.4 states/eV/cell. For the theoretical density, the calculation gives 7.5 g cm⁻³.

No. 6
The following is a GGA-PBE calculation of Tb2Pm6Dy3Er after structural relaxation, from Alexandria.

The space group is C2/m (No. 12) and the conventional cell measures 6.241, 10.806 and 11.848 Å, with angles of 90.00, 100.08 and 90.00 degrees. The asymmetric unit holds Tb at (0.000, 0.167, 0.000), Pm at (0.249, 0.500, 0.750), Pm at (0.250, 0.166, 0.750), Dy at (0.000, 0.000, 0.500), Dy at (0.000, 0.333, 0.500) and Er at (0.000, 0.500, 0.000).

For the energy of formation from the pure elements, the calculation gives 12 meV/atom. Its magnetic moment is 0.0 μB per cell. As for the density of states at the Fermi level: 28.0 states/eV/cell. For the theoretical density, the calculation gives 7.8 g cm⁻³.

No. 7
The following is a GGA-PBE calculation of TbPmDyEr after structural relaxation, from Alexandria.

The space group is F-43m (No. 216) and the conventional cell measures 8.035, 8.035 and 8.035 Å, with angles of 90.00, 90.00 and 90.00 degrees. The asymmetric unit holds Tb at (0.000, 0.000, 0.000), Pm at (0.000, 0.000, 0.500), Dy at (0.250, 0.250, 0.750) and Er at (0.250, 0.250, 0.250).

For the energy of formation from the pure elements, the calculation gives 132 meV/atom. Its magnetic moment is 0.0 μB per cell. For the energy above the most stable polymorph in this dataset, the calculation gives 0 meV/atom. As for the density of states at the Fermi level: 34.5 states/eV/cell. For the theoretical density, the calculation gives 8.1 g cm⁻³.

No. 8
The following is a GGA-PBE calculation of Tb3Pm6Dy2Er after structural relaxation, from Alexandria.

The space group is C2/m (No. 12) and the conventional cell measures 6.243, 10.811 and 11.855 Å, with angles of 90.00, 100.07 and 90.00 degrees. The asymmetric unit holds Tb at (0.000, 0.000, 0.000), Tb at (0.000, 0.333, 0.000), Pm at (0.250, 0.000, 0.749), Pm at (0.250, 0.167, 0.251), Dy at (0.000, 0.167, 0.500) and Er at (0.000, 0.500, 0.500).

For the energy of formation from the pure elements, the calculation gives 12 meV/atom. Its magnetic moment is 0.0 μB per cell. As for the density of states at the Fermi level: 28.2 states/eV/cell. For the theoretical density, the calculation gives 7.8 g cm⁻³.

No. 9
The following is a GGA-PBE calculation of Tb2PmDyEr after structural relaxation, from Alexandria.

The space group is Cmcm (No. 63) and the conventional cell measures 8.394, 11.467 and 7.190 Å, with angles of 90.00, 90.00 and 90.00 degrees. The asymmetric unit holds Tb at (0.190, 0.000, 0.000), Pm at (0.000, 0.226, 0.250), Dy at (0.000, 0.495, 0.250) and Er at (0.000, 0.226, 0.750).

For the energy of formation from the pure elements, the calculation gives 396 meV/atom. Its magnetic moment is 0.0 μB per cell. As for the density of states at the Fermi level: 30.1 states/eV/cell. For the theoretical density, the calculation gives 7.6 g cm⁻³.

No. 10
The following is a GGA-PBE calculation of Tb6PmDy2Er after structural relaxation, from Alexandria.

The space group is C2/c (No. 15) and the conventional cell measures 9.080, 15.053 and 9.558 Å, with angles of 90.00, 97.34 and 90.00 degrees. The asymmetric unit holds Tb at (0.063, 0.186, 0.444), Tb at (0.100, 0.392, 0.619), Tb at (0.208, 0.225, 0.816), Pm at (0.000, 0.024, 0.750), Dy at (0.249, 0.448, 0.955) and Er at (0.000, 0.409, 0.250).

For the energy of formation from the pure elements, the calculation gives 118 meV/atom. Its magnetic moment is 0.0 μB per cell. As for the density of states at the Fermi level: 55.6 states/eV/cell. For the theoretical density, the calculation gives 8.2 g cm⁻³.

No. 11
The following is a GGA-PBE calculation of Tb5PmDy2Er after structural relaxation, from Alexandria.

The space group is Cmc2_1 (No. 36) and the conventional cell measures 5.597, 19.959 and 10.614 Å, with angles of 90.00, 90.00 and 90.00 degrees. The asymmetric unit holds Tb at (0.000, 0.017, 0.000), Tb at (0.000, 0.282, 0.282), Tb at (0.000, 0.300, 0.682), Tb at (0.000, 0.393, 0.999), Tb at (0.000, 0.479, 0.714), Pm at (0.000, 0.201, 0.986), Dy at (0.000, 0.109, 0.712), Dy at (0.000, 0.114, 0.294) and Er at (0.000, 0.413, 0.432).

For the energy of formation from the pure elements, the calculation gives 151 meV/atom. Its magnetic moment is 0.0 μB per cell. As for the density of states at the Fermi level: 56.3 states/eV/cell. For the theoretical density, the calculation gives 8.0 g cm⁻³.

No. 12
The following is a GGA-PBE calculation of Tb2PmDy2Er2 after structural relaxation, from Alexandria.

The space group is C2/m (No. 12) and the conventional cell measures 17.574, 3.492 and 8.362 Å, with angles of 90.00, 116.81 and 90.00 degrees. The asymmetric unit holds Tb at (0.149, 0.000, 0.390), Pm at (0.000, 0.500, 0.500), Dy at (0.071, 0.000, 0.910) and Er at (0.211, 0.500, 0.798).

For the energy of formation from the pure elements, the calculation gives 147 meV/atom. Its magnetic moment is 0.0 μB per cell. As for the density of states at the Fermi level: 23.1 states/eV/cell. For the theoretical density, the calculation gives 8.1 g cm⁻³.